# 1
DFT (GGA-PBE) results for a geometry-optimized ErCd11Ga structure.

Calculated volume   22.41 A^3/atom
Formation energy from the elements   -0.51 eV per formula unit
Uncorrected energy   -1.397 eV/atom
Total magnetization   0.00 Bohr magnetons per cell
Fermi-level density of states   3.4 states/eV/cell

Geometry as POSCAR:
```
ErCd11Ga
1.0
-1.7998 3.0699 -4.6894
-7.1648 -1.5920 -1.8905
-3.1661 6.6920 1.9011
Er Cd Ga
1 11 1
Direct
0.0000 0.0000 0.0000
0.2913 0.2123 0.2092
0.7087 0.7877 0.7908
0.4996 0.7877 0.2092
0.5004 0.2123 0.7908
0.3534 0.6474 0.6514
0.6466 0.3526 0.3486
0.9952 0.3526 0.6514
0.0048 0.6474 0.3486
0.0000 0.5000 0.0000
0.5000 0.0000 0.5000
0.0000 0.0000 0.5000
0.5000 0.5000 0.0000
```

***

# 2
DFT (GGA-PBE) results for a geometry-optimized Er2Cd3Ga structure.

Calculated volume   23.15 A^3/atom
Formation energy from the elements   -2.16 eV per formula unit
Uncorrected energy   -2.843 eV/atom
Total magnetization   0.00 Bohr magnetons per cell
Fermi-level density of states   4.2 states/eV/cell

Geometry as POSCAR:
```
Er2Cd3Ga
1.0
3.4720 0.0000 0.0000
0.0000 4.8102 0.0000
0.0000 0.0000 8.3180
Er Cd Ga
2 3 1
Direct
0.0000 0.5000 0.0144
0.0000 0.0000 0.4886
0.5000 0.0000 0.8308
0.5000 0.0000 0.1686
0.5000 0.5000 0.6629
0.5000 0.5000 0.3348
```

***

# 3
DFT (GGA-PBE) results for a geometry-optimized ErCdGa structure.

Calculated volume   22.36 A^3/atom
Energy relative to the lowest polymorph listed for this composition   0.230 eV/atom
Formation energy from the elements   -0.81 eV per formula unit
Uncorrected energy   -3.105 eV/atom
Total magnetization   0.17 Bohr magnetons per cell
Fermi-level density of states   1.6 states/eV/cell

Geometry as POSCAR:
```
ErCdGa
1.0
-0.1054 -1.1579 -3.1440
-1.5218 -2.7858 1.0770
-4.5013 4.5736 0.2535
Er Ga Cd
1 1 1
Direct
0.9395 0.9395 0.8790
0.2815 0.2815 0.5629
0.6290 0.6290 0.2581
```

***

# 4
DFT (GGA-PBE) results for a geometry-optimized ErCdGa structure.

Calculated volume   24.14 A^3/atom
Energy relative to the lowest polymorph listed for this composition   0.348 eV/atom
Formation energy from the elements   -0.46 eV per formula unit
Uncorrected energy   -2.987 eV/atom
Total magnetization   0.00 Bohr magnetons per cell
Fermi-level density of states   3.5 states/eV/cell

Geometry as POSCAR:
```
ErCdGa
1.0
4.6345 0.0000 0.0000
2.3172 4.0136 0.0000
2.3172 1.3379 7.7874
Ga Cd Er
2 2 2
Direct
0.0745 0.0745 0.7764
0.9255 0.9255 0.2236
0.6324 0.6324 0.1027
0.3676 0.3676 0.8973
0.2136 0.2136 0.3591
0.7864 0.7864 0.6409
```